# 1
DFT (PBE) results for ZnNi2Ir after structural relaxation.

space group = No. 47

abc: 3.0442 4.0673 4.0670
angles: 90.00 90.00 90.00
Closest atoms and distances in Å follow each position.
Positions (direct):
Ir1 0.0000 0.5000 0.5000  4 Ni 2.54, 4 Zn 2.54
Ni1 0.0000 0.0000 0.0000  4 Zn 2.54, 4 Ni 2.54
Ni2 0.5000 0.5000 0.0000  4 Ir 2.54, 4 Ni 2.54
Zn1 0.5000 0.0000 0.5000  4 Ni 2.54, 4 Ir 2.54

# 2
DFT (PBE) results for NiSeIBr2 after structural relaxation.

space group = No. 123
excess energy over the best structure of this formula in the dataset = 775 meV/atom

abc: 5.7269 5.7269 5.4636
angles: 90.00 90.00 90.00
Closest atoms and distances in Å follow each position.
Positions (direct):
I1 0.0000 0.0000 0.0000  2 Se 2.73, 4 Br 2.86
Ni1 0.5000 0.5000 0.5000  8 Br 3.96, 4 Se 4.05
Se1 0.0000 0.0000 0.5000  2 I 2.73
Br1 0.0000 0.5000 0.0000  2 I 2.86
Br2 0.5000 0.0000 0.0000  2 I 2.86

# 3
DFT (PBE) results for TlV2Br2 after structural relaxation.

space group = No. 139
excess energy over the best structure of this formula in the dataset = 165 meV/atom

abc: 4.8789 4.8789 5.8992
angles: 65.57 65.57 90.00
Closest atoms and distances in Å follow each position.
Positions (direct):
Tl1 0.0000 0.0000 0.0000  8 Br 3.42, 8 V 3.57
Br1 0.7500 0.2500 0.5000  4 V 2.86
Br2 0.2500 0.7500 0.5000  4 V 2.86
V1 0.4058 0.4058 0.1883  1 V 1.80
V2 0.5942 0.5942 0.8117  1 V 1.80

# 4
DFT (PBE) results for DyPuHgOs after structural relaxation.

space group = No. 216
excess energy over the best structure of this formula in the dataset = 170 meV/atom

abc: 5.0241 5.0241 5.0241
angles: 60.00 60.00 60.00
Closest atoms and distances in Å follow each position.
Positions (direct):
Dy1 0.0000 0.0000 0.0000  4 Os 3.08, 4 Hg 3.08
Os1 0.2500 0.2500 0.2500  4 Pu 3.08, 4 Dy 3.08
Hg1 0.7500 0.7500 0.7500  4 Pu 3.08, 4 Dy 3.08
Pu1 0.5000 0.5000 0.5000  4 Hg 3.08, 4 Os 3.08

no.,total moment (μB/atom),uncorrected energy (eV/f.u.)
1,0.2518,-21.79
2,0.2414,-9.31
3,0.0000,-23.12
4,1.3218,-30.67